Arrangement a

LuZrAu2, optimized geometry, DFT PBE-GGA; SG = No. 225; volume = 21.13 Å³/atom; N(E_F) = 5.7 states/eV per cell
1.0
-4.6819 -0.8404 1.2788
-1.6943 -4.6184 0.2478
-1.0348 -2.0123 4.3751
Au Lu Zr
2 1 1
direct
0.2500 0.2500 0.2500 Au
0.7500 0.7500 0.7500 Au
0.0000 0.0000 0.0000 Lu
0.5000 0.5000 0.5000 Zr

Arrangement b

LuZrAu2, optimized geometry, DFT PBE-GGA; SG = No. 123; volume = 21.05 Å³/atom; N(E_F) = 4.0 states/eV per cell
1.0
-1.5398 -2.0382 2.2538
3.7247 -3.2679 -0.4106
2.4076 2.2786 3.7056
Lu Zr Au
1 1 2
direct
0.5000 0.5000 0.5000 Lu
0.5000 0.0000 0.0000 Zr
0.0000 0.0000 0.5000 Au
0.0000 0.5000 0.0000 Au

Relative energies, unit kJ/mol of atoms: arrangement a 2.0; arrangement b 0.0

Arrangement a

LuZrAu, optimized geometry, DFT PBE-GGA; SG = No. 107; volume = 22.59 Å³/atom; N(E_F) = 4.2 states/eV per cell
1.0
-2.9358 -0.0827 1.6853
-0.6430 -3.0721 -1.2707
4.5119 -0.9037 4.4135
Lu Au Zr
1 1 1
direct
0.3249 0.3249 0.6498 Lu
0.6640 0.6640 0.3281 Au
0.0111 0.0111 0.0221 Zr

Arrangement b

LuZrAu, optimized geometry, DFT PBE-GGA; SG = No. 156; volume = 23.29 Å³/atom; N(E_F) = 3.1 states/eV per cell
1.0
-0.5973 0.6331 3.4101
1.3747 -4.4604 1.0688
3.2220 3.5409 -0.0930
Lu Au Zr
1 1 1
direct
0.6376 0.6667 0.3333 Lu
0.2576 0.3333 0.6667 Au
0.1048 0.0000 0.0000 Zr

Relative energies, unit kJ/mol of atoms: arrangement a 0.0; arrangement b 18.5

Arrangement a

Mg3Au2, optimized geometry, DFT PBE-GGA; SG = No. 43; volume = 18.68 Å³/atom; N(E_F) = 1.5 states/eV per cell
1.0
0.0000 4.9612 7.1096
2.6477 0.0000 7.1096
2.6477 4.9612 0.0000
Au Mg
4 6
direct
0.7128 0.8955 0.3358 Au
0.3545 0.5372 0.1941 Au
0.0559 0.3358 0.8955 Au
0.9142 0.1941 0.5372 Au
0.1600 0.3400 0.3400 Mg
0.4802 0.7359 0.4427 Mg
0.5141 0.7698 0.9089 Mg
0.9100 0.0900 0.0900 Mg
0.8073 0.9089 0.7698 Mg
0.3411 0.4427 0.7359 Mg

Arrangement b

Mg3Au2, optimized geometry, DFT PBE-GGA; SG = No. 139; volume = 18.73 Å³/atom; N(E_F) = 1.2 states/eV per cell
1.0
3.4097 0.0000 0.0000
0.0000 3.4097 0.0000
-1.7049 -1.7049 8.0541
Mg Au
3 2
direct
0.0000 0.0000 0.0000 Mg
0.8102 0.8102 0.6205 Mg
0.1898 0.1898 0.3795 Mg
0.6020 0.6020 0.2040 Au
0.3980 0.3980 0.7960 Au

Relative energies, unit kJ/mol of atoms: arrangement a 5.4; arrangement b 0.0

Arrangement a

Mg3Au2, optimized geometry, DFT PBE-GGA; SG = No. 166; volume = 20.08 Å³/atom; N(E_F) = 1.3 states/eV per cell
1.0
11.3325 -1.6019 0.0683
11.3325 1.6019 0.0683
11.0894 0.0000 2.8322
Mg Au
3 2
direct
0.2073 0.2073 0.2073 Mg
0.0000 0.0000 0.0000 Mg
0.7927 0.7927 0.7927 Mg
0.3968 0.3968 0.3968 Au
0.6032 0.6032 0.6032 Au

Arrangement b

Mg3Au2, optimized geometry, DFT PBE-GGA; SG = No. 164; volume = 20.51 Å³/atom; N(E_F) = 2.3 states/eV per cell
1.0
4.5699 0.0000 0.0000
-2.2849 3.9576 0.0000
0.0000 0.0000 5.6704
Au Mg
2 3
direct
0.3333 0.6667 0.8356 Au
0.6667 0.3333 0.1644 Au
0.6667 0.3333 0.6533 Mg
0.3333 0.6667 0.3467 Mg
0.0000 0.0000 0.0000 Mg

Relative energies, unit kJ/mol of atoms: arrangement a 22.3; arrangement b 0.0

Arrangement a

Mg5Au4, optimized geometry, DFT PBE-GGA; SG = No. 193; volume = 18.79 Å³/atom; N(E_F) = 5.7 states/eV per cell
1.0
8.1732 0.0000 0.0000
-4.0866 7.0782 0.0000
0.0000 0.0000 5.8479
Mg Au
10 8
direct
0.3333 0.6667 0.5000 Mg
0.7093 0.7093 0.7500 Mg
0.0000 0.7093 0.2500 Mg
0.2907 0.0000 0.7500 Mg
0.2907 0.2907 0.2500 Mg
0.6667 0.3333 0.5000 Mg
0.6667 0.3333 0.0000 Mg
0.3333 0.6667 0.0000 Mg
0.0000 0.2907 0.7500 Mg
0.7093 0.0000 0.2500 Mg
0.3787 0.3787 0.7500 Au
0.0000 0.3787 0.2500 Au
0.6213 0.0000 0.7500 Au
0.3787 0.0000 0.2500 Au
0.6213 0.6213 0.2500 Au
0.0000 0.0000 0.5000 Au
0.0000 0.0000 0.0000 Au
0.0000 0.6213 0.7500 Au

Arrangement b

Mg5Au4, optimized geometry, DFT PBE-GGA; SG = No. 139; volume = 18.50 Å³/atom; N(E_F) = 3.8 states/eV per cell
1.0
1.5670 2.8090 5.7961
-5.1117 -1.4467 -3.9647
1.1197 -6.2350 1.9524
Mg Au
5 4
direct
0.6716 0.6716 0.3431 Mg
0.3284 0.6716 0.0000 Mg
0.6716 0.3284 0.0000 Mg
0.3284 0.3284 0.6569 Mg
0.0000 0.0000 0.0000 Mg
0.6806 0.0000 0.6806 Au
0.0000 0.3194 0.3194 Au
0.0000 0.6806 0.6806 Au
0.3194 0.0000 0.3194 Au

Relative energies, unit kJ/mol of atoms: arrangement a 0.0; arrangement b 11.8

Arrangement a

Mg4Au, optimized geometry, DFT PBE-GGA; SG = No. 221; volume = 26.95 Å³/atom; N(E_F) = 1.9 states/eV per cell
1.0
5.1265 0.0000 0.0000
0.0000 5.1265 0.0000
0.0000 0.0000 5.1265
Mg Au
4 1
direct
0.5000 0.5000 0.0000 Mg
0.0000 0.5000 0.5000 Mg
0.0000 0.0000 0.0000 Mg
0.5000 0.0000 0.5000 Mg
0.5000 0.5000 0.5000 Au

Arrangement b

Mg4Au, optimized geometry, DFT PBE-GGA; SG = No. 139; volume = 22.73 Å³/atom; N(E_F) = 2.0 states/eV per cell
1.0
5.5873 4.3007 4.4448
0.8307 6.7595 4.8051
-3.8033 -6.9973 -2.4583
Au Mg
1 4
direct
0.0000 0.0000 0.0000 Au
0.2500 0.7500 0.5000 Mg
0.4107 0.4107 0.0000 Mg
0.5893 0.5893 0.0000 Mg
0.7500 0.2500 0.5000 Mg

Relative energies, unit kJ/mol of atoms: arrangement a 0.0; arrangement b 12.4